Density functional theory data (PBE-GGA) for an optimized crystal structure of BaCd5Pb7.

For the total DFT energy (no corrections), the calculation gives -2.5919 eV/atom. For the energy of formation, the calculation gives -0.10 eV/atom. As for the crystal system: orthorhombic.

a = 5.9896 Å, b = 11.1722 Å, c = 11.5750 Å
α = 90.00°, β = 90.00°, γ = 90.00°
Last column: nearest neighbours and their distance in Å.
Space group Imm2 (No. 44)
Asymmetric unit:
1 Ba 0.0000 0.0000 0.0000 x2  10 Pb 3.79-4.07, 6 Cd 3.88-4.22
2 Cd 0.0000 0.5000 0.2865 x2  4 Cd 3.11, 4 Pb 3.40
3 Cd 0.2486 0.2587 0.2516 x8  3 Cd 2.98-3.11, 4 Pb 3.26-3.33
4 Pb 0.0000 0.0000 0.3511 x2  5 Pb 3.35-3.69, 4 Cd 3.45
5 Pb 0.0000 0.0000 0.6483 x2  6 Cd 3.31-3.40, 3 Pb 3.44-3.68
6 Pb 0.0000 0.2917 0.5001 x4  5 Cd 3.26-3.40, 3 Pb 3.39-3.45
7 Pb 0.0000 0.3508 0.9999 x4  4 Pb 3.33-3.64, 5 Cd 3.43-3.71
8 Pb 0.0000 0.5000 0.7207 x2  4 Cd 3.28, 6 Pb 3.35-3.64

Density functional theory data (PBE-GGA) for an optimized crystal structure of BaCd3Pb2.

For the total DFT energy (no corrections), the calculation gives -2.2369 eV/atom. For the energy of formation, the calculation gives -0.22 eV/atom. As for the crystal system: monoclinic.

a = 18.7559 Å, b = 5.1364 Å, c = 7.8577 Å
α = 90.00°, β = 105.83°, γ = 90.00°
Last column: nearest neighbours and their distance in Å.
Space group C2/m (No. 12)
Asymmetric unit:
1 Ba 0.1180 0.0000 0.1719 x4  7 Cd 3.66-4.00, 7 Pb 3.68-3.90
2 Cd 0.0642 0.0000 0.6557 x4  3 Cd 2.93-3.18, 3 Pb 3.07-3.13
3 Cd 0.1280 0.5000 0.5099 x4  3 Cd 3.10-3.18, 4 Pb 3.24-3.29
4 Cd 0.1989 0.5000 0.9149 x4  3 Cd 3.10-3.26, 4 Pb 3.18-3.38
5 Pb 0.0213 0.5000 0.8173 x4  4 Cd 3.07-3.24, 1 Pb 3.18
6 Pb 0.2322 0.0000 0.6673 x4  7 Cd 3.13-3.38

Density functional theory data (PBE-GGA) for an optimized crystal structure of BaCd2Pb3.

For the total DFT energy (no corrections), the calculation gives -2.7112 eV/atom. For the energy of formation, the calculation gives -0.23 eV/atom. As for the crystal system: hexagonal.

a = 5.3421 Å, b = 5.3421 Å, c = 15.3155 Å
α = 90.00°, β = 90.00°, γ = 120.00°
Last column: nearest neighbours and their distance in Å.
Space group P6_3/mmc (No. 194)
Asymmetric unit:
1 Ba 0.0000 0.0000 0.2500 x2  8 Pb 3.68-3.83, 6 Cd 3.88
2 Cd 0.3333 0.6667 0.0958 x4  7 Pb 3.11-3.42
3 Pb 0.0000 0.0000 0.0000 x2  6 Cd 3.42, 6 Pb 3.58
4 Pb 0.3333 0.6667 0.6193 x4  4 Cd 3.11-3.29

Density functional theory data (PBE-GGA) for an optimized crystal structure of Ba3Cd4Pb2.

For the total DFT energy (no corrections), the calculation gives -2.2936 eV/atom. For the energy of formation, the calculation gives -0.42 eV/atom. As for the crystal system: monoclinic.

a = 12.5216 Å, b = 5.2422 Å, c = 10.1953 Å
α = 90.00°, β = 111.02°, γ = 90.00°
Last column: nearest neighbours and their distance in Å.
Space group C2/m (No. 12)
Asymmetric unit:
1 Ba 0.0000 0.0000 0.0000 x2  4 Pb 3.64, 8 Cd 3.66-3.83
2 Ba 0.1717 0.5000 0.6653 x4  8 Cd 3.62-3.89, 4 Pb 3.69-3.86
3 Cd 0.0550 0.0000 0.3943 x4  1 Cd 2.95, 2 Pb 3.07
4 Cd 0.2128 0.5000 0.0356 x4  2 Cd 2.96, 1 Pb 3.15
5 Pb 0.0976 0.5000 0.2642 x4  3 Cd 3.07-3.15

Density functional theory data (PBE-GGA) for an optimized crystal structure of BaCd17Pb.

For the total DFT energy (no corrections), the calculation gives -1.1960 eV/atom. For the energy of formation, the calculation gives -0.08 eV/atom. As for the crystal system: trigonal.

a = 10.3165 Å, b = 10.3165 Å, c = 15.2967 Å
α = 90.00°, β = 90.00°, γ = 120.00°
Last column: nearest neighbours and their distance in Å.
Space group R3m (No. 160, hexagonal axes)
Asymmetric unit:
1 Ba 0.0000 0.0000 0.0000 x3  19 Cd 3.67-3.93
2 Cd 0.0000 0.0000 0.2460 x3  13 Cd 3.09-3.40
3 Cd 0.0000 0.0000 0.4479 x3  7 Cd 3.09-3.21
4 Cd 0.0050 0.5025 0.1908 x9  9 Cd 2.99-3.24
5 Cd 0.0065 0.3038 0.3370 x18  8 Cd 2.98-3.24
6 Cd 0.0139 0.5069 0.4906 x9  8 Cd 2.98-3.21, 1 Pb 3.24
7 Cd 0.0153 0.5077 0.8320 x9  10 Cd 2.98-3.21
8 Pb 0.0000 0.0000 0.7240 x3  3 Cd 3.24

Density functional theory data (PBE-GGA) for an optimized crystal structure of Ba3Cd5Pb6.

For the total DFT energy (no corrections), the calculation gives -2.6435 eV/atom. For the energy of formation, the calculation gives -0.32 eV/atom. As for the crystal system: orthorhombic.

a = 5.2014 Å, b = 15.3719 Å, c = 11.2697 Å
α = 90.00°, β = 90.00°, γ = 90.00°
Last column: nearest neighbours and their distance in Å.
Space group Pmmn (No. 59, origin choice 2)
Asymmetric unit:
1 Ba 0.2500 0.0523 0.2472 x4  7 Pb 3.66-3.94, 7 Cd 3.67-4.00
2 Ba 0.2500 0.7500 0.2515 x2  6 Cd 3.81-3.85, 6 Pb 3.91-3.92
3 Cd 0.2500 0.0967 0.6162 x4  5 Pb 2.99-3.15
4 Cd 0.2500 0.6094 0.9687 x4  5 Pb 3.12-3.39, 1 Cd 3.23
5 Cd 0.2500 0.7500 0.7560 x2  2 Cd 3.23, 6 Pb 3.34-3.45
6 Pb 0.2500 0.0861 0.8813 x4  4 Cd 2.99-3.16, 1 Pb 3.21
7 Pb 0.2500 0.2500 0.0576 x2  2 Pb 3.21, 6 Cd 3.34-3.39
8 Pb 0.2500 0.2500 0.4379 x2  4 Cd 3.10-3.40
9 Pb 0.2500 0.5985 0.5298 x4  3 Cd 3.08-3.15

Density functional theory data (PBE-GGA) for an optimized crystal structure of BaCd6Pb6.

For the total DFT energy (no corrections), the calculation gives -2.3857 eV/atom. For the energy of formation, the calculation gives -0.10 eV/atom. As for the crystal system: orthorhombic.

a = 6.0623 Å, b = 10.7500 Å, c = 11.5241 Å
α = 90.00°, β = 90.00°, γ = 90.00°
Last column: nearest neighbours and their distance in Å.
Space group Immm (No. 71)
Asymmetric unit:
1 Ba 0.0000 0.0000 0.0000 x2  8 Pb 3.69-4.07, 4 Cd 3.96
2 Cd 0.0000 0.5000 0.2787 x4  4 Cd 3.10, 4 Pb 3.30-3.39
3 Cd 0.2500 0.2500 0.2500 x8  4 Cd 3.03-3.10, 4 Pb 3.31
4 Pb 0.0000 0.0000 0.3532 x4  6 Cd 3.31-3.39, 3 Pb 3.38-3.68
5 Pb 0.0000 0.3045 0.5000 x4  6 Cd 3.30-3.31, 4 Pb 3.45-3.68, 2 Ba 3.69
6 Pb 0.0000 0.3481 0.0000 x4  3 Pb 3.27-3.45, 6 Cd 3.42-3.60

Density functional theory data (PBE-GGA) for an optimized crystal structure of Ba4Cd3Pb.

For the total DFT energy (no corrections), the calculation gives -2.1631 eV/atom. For the energy of formation, the calculation gives -0.40 eV/atom. As for the crystal system: tetragonal.

a = 6.0371 Å, b = 6.0371 Å, c = 17.1521 Å
α = 90.00°, β = 90.00°, γ = 90.00°
Last column: nearest neighbours and their distance in Å.
Space group I4/mmm (No. 139)
Asymmetric unit:
1 Ba 0.0000 0.5000 0.1253 x8  6 Cd 3.70-3.71, 2 Pb 3.71
2 Cd 0.0000 0.0000 0.0000 x2  8 Ba 3.71
3 Cd 0.0000 0.0000 0.2498 x4  8 Ba 3.70
4 Pb 0.0000 0.0000 0.5000 x2  8 Ba 3.71

Density functional theory data (PBE-GGA) for an optimized crystal structure of Ba2Cd10Pb.

For the total DFT energy (no corrections), the calculation gives -1.4671 eV/atom. For the energy of formation, the calculation gives -0.18 eV/atom. As for the crystal system: monoclinic.

a = 5.3186 Å, b = 7.6489 Å, c = 18.3722 Å
α = 90.00°, β = 97.03°, γ = 90.00°
Last column: nearest neighbours and their distance in Å.
Space group P2_1/c (No. 14)
Asymmetric unit:
1 Ba 0.2204 0.2444 0.1408 x4  12 Cd 3.43-3.83, 1 Pb 3.70
2 Cd 0.0216 0.6888 0.0619 x4  4 Cd 2.92-3.18, 2 Pb 3.21-3.25
3 Cd 0.2467 0.7378 0.2185 x4  7 Cd 2.99-3.19
4 Cd 0.2558 0.5528 0.4747 x4  4 Cd 2.77-3.09
5 Cd 0.2759 0.0690 0.8231 x4  5 Cd 2.95-3.16
6 Cd 0.2810 0.0425 0.3215 x4  5 Cd 2.97-3.19
7 Pb 0.5000 0.0000 0.5000 x2  6 Cd 3.21-3.36

Density functional theory data (PBE-GGA) for an optimized crystal structure of Ba2CdPb.

For the total DFT energy (no corrections), the calculation gives -2.4890 eV/atom. For the energy of formation, the calculation gives -0.37 eV/atom. As for the crystal system: orthorhombic.

a = 4.3304 Å, b = 5.7777 Å, c = 12.2995 Å
α = 90.00°, β = 90.00°, γ = 90.00°
Last column: nearest neighbours and their distance in Å.
Space group Imm2 (No. 44)
Asymmetric unit:
1 Ba 0.0000 0.0000 0.0000 x2  4 Pb 3.70, 2 Cd 3.81, 2 Ba 3.82
2 Ba 0.0000 0.5000 0.2037 x2  4 Cd 3.66, 2 Ba 3.82, 4 Pb 3.95-4.05
3 Cd 0.0000 0.5000 0.7551 x2  2 Pb 3.09
4 Pb 0.0000 0.0000 0.4348 x2  2 Cd 3.09

Number 1: calculated volume 29.79 Å³/atom, density of states at the Fermi level 14.9 states/eV/cell. Number 2: calculated volume 30.34 Å³/atom, density of states at the Fermi level 12.9 states/eV/cell. Number 3: calculated volume 31.54 Å³/atom, density of states at the Fermi level 5.6 states/eV/cell. Number 4: calculated volume 34.70 Å³/atom, density of states at the Fermi level 5.2 states/eV/cell. Number 5: calculated volume 24.74 Å³/atom, density of states at the Fermi level 12.6 states/eV/cell. Number 6: calculated volume 32.18 Å³/atom, density of states at the Fermi level 10.1 states/eV/cell. Number 7: calculated volume 28.89 Å³/atom, density of states at the Fermi level 12.2 states/eV/cell. Number 8: calculated volume 39.07 Å³/atom, density of states at the Fermi level 10.7 states/eV/cell. Number 9: calculated volume 28.53 Å³/atom, density of states at the Fermi level 13.9 states/eV/cell. Number 10: calculated volume 38.47 Å³/atom, density of states at the Fermi level 6.9 states/eV/cell.